# 1
First-principles (PBE) data for Ta2BeZn after structural relaxation, as listed in the Alexandria database.

Unit cell a=2.779 b=2.779 c=7.704 alpha=90.00 beta=90.00 gamma=90.00
Space group P4mm (No. 99)
Inequivalent atoms, fractional coordinates:
Ta (0.000, 0.000, 0.000) x1
Ta (0.500, 0.500, 0.317) x1
Be (0.500, 0.500, 0.774) x1
Zn (0.000, 0.000, 0.589) x1

Energy above the lowest structure with this stoichiometry, meV/atom: 45
Total moment, μB/f.u.: 0.00
ΔE_f, eV/atom: 0.04

***

# 2
First-principles (PBE) data for LaHIr2Pd after structural relaxation, as listed in the Alexandria database.

Unit cell a=4.774 b=4.774 c=5.521 alpha=90.00 beta=90.00 gamma=90.00
Space group P4/mmm (No. 123)
Inequivalent atoms, fractional coordinates:
La (0.000, 0.000, 0.000) x1
H (0.500, 0.500, 0.000) x1
Ir (0.000, 0.500, 0.500) x2
Pd (0.000, 0.000, 0.500) x1

Total moment, μB/f.u.: 1.52
Uncorrected energy, eV/atom: -4.9293

***

# 3
First-principles (PBE) data for SrGdSnPd after structural relaxation, as listed in the Alexandria database.

Unit cell a=7.551 b=7.551 c=7.551 alpha=90.00 beta=90.00 gamma=90.00
Space group F-43m (No. 216)
Inequivalent atoms, fractional coordinates:
Sr (0.000, 0.000, 0.000) x4
Gd (0.000, 0.000, 0.500) x4
Sn (0.250, 0.250, 0.750) x4
Pd (0.250, 0.250, 0.250) x4

Total moment, μB/f.u.: 7.16
ΔE_f, eV/atom: -0.60

***

# 4
First-principles (PBE) data for RbNa2CaN after structural relaxation, as listed in the Alexandria database.

Unit cell a=5.705 b=5.705 c=4.741 alpha=90.00 beta=90.00 gamma=90.00
Space group P4/mmm (No. 123)
Inequivalent atoms, fractional coordinates:
Rb (0.000, 0.000, 0.000) x1
Na (0.000, 0.500, 0.500) x2
Ca (0.500, 0.500, 0.000) x1
N (0.500, 0.500, 0.500) x1

Total moment, μB/f.u.: 0.00
E_form (uncorrected), meV/atom: 154

***

# 5
First-principles (PBE) data for Bi2TeO after structural relaxation, as listed in the Alexandria database.

Unit cell a=7.268 b=7.268 c=7.268 alpha=90.00 beta=90.00 gamma=90.00
Space group Fm-3m (No. 225)
Inequivalent atoms, fractional coordinates:
Bi (0.250, 0.250, 0.250) x8
Te (0.000, 0.000, 0.000) x4
O (0.000, 0.000, 0.500) x4

Energy above the lowest structure with this stoichiometry, meV/atom: 634
Total moment, μB/f.u.: 0.00
E_form (uncorrected), meV/atom: 188

***

# 6
First-principles (PBE) data for Al2FeHg after structural relaxation, as listed in the Alexandria database.

Unit cell a=2.920 b=4.592 c=4.753 alpha=90.00 beta=90.00 gamma=90.00
Space group Pmm2 (No. 25)
Inequivalent atoms, fractional coordinates:
Al (0.000, 0.000, 0.000) x1
Al (0.500, 0.500, 0.190) x1
Fe (0.000, 0.500, 0.746) x1
Hg (0.500, 0.000, 0.511) x1

Total moment, μB/f.u.: 1.70
ΔE_f, eV/atom: 0.12

***

# 7
First-principles (PBE) data for LiPPb4 after structural relaxation, as listed in the Alexandria database.

Unit cell a=9.021 b=9.021 c=9.021 alpha=90.00 beta=90.00 gamma=90.00
Space group F-43m (No. 216)
Inequivalent atoms, fractional coordinates:
Li (0.000, 0.000, 0.000) x4
P (0.250, 0.250, 0.750) x4
Pb (0.125, 0.125, 0.375) x16

Total moment, μB/f.u.: 0.00
ΔE_f, eV/atom: 0.41

***

# 8
First-principles (PBE) data for ZnTc3N after structural relaxation, as listed in the Alexandria database.

Unit cell a=3.2680 b=3.2680 c=15.6757 alpha=90.00 beta=90.00 gamma=120.00
Space group P6_3/mmc (No. 194)
Inequivalent atoms, fractional coordinates:
Zn (0.0000, 0.0000, 0.0000) x2
Tc (0.0000, 0.0000, 0.2500) x2
Tc (0.3333, 0.6667, 0.1173) x4
N (0.3333, 0.6667, 0.2500) x2

Energy above the lowest structure with this stoichiometry, meV/atom: 452
Total moment, μB/f.u.: 0.00
E_form (uncorrected), meV/atom: 476

***

What is the total moment in the first record?
0.00 μB/f.u.